First-principles (PBE) data for a geometry-optimized Sc2TcW structure, as listed in Alexandria via LeMat-Bulk.

* Fermi-level density of states: 4.86 states/eV/cell
* formation energy: 0.27 eV/atom
* total moment: 0.000 μB per atom
* polymorph energy (0 for the lowest one): 368 meV/atom
* DFT total energy: -8.725 eV/atom

a b c (Å): 9.0417 9.0417 9.0417
angles (deg): 19.47 19.47 19.47
Closest atoms and distances in Å follow each position.
Positions (direct):
Sc 0.9935 0.9935 0.9935  3 Tc 2.70, 3 W 2.97
Sc 0.5065 0.5065 0.5065  3 Tc 2.70, 3 W 2.97
Tc 0.2500 0.2500 0.2500  6 Sc 2.70
W 0.7500 0.7500 0.7500  6 Sc 2.97, 6 W 3.06